Entry 1:
# CuSb3Pb PBE optimized geometry
data_CuSb3Pb
_cell_length_a 5.1880
_cell_length_b 5.1880
_cell_length_c 5.1880
_cell_angle_alpha 90.00
_cell_angle_beta 90.00
_cell_angle_gamma 90.00
_symmetry_space_group_name_H-M 'P m -3 m'
_symmetry_Int_Tables_number 221
_symmetry_space_group_name_Hall '-P 4 2 3'
loop_
_atom_site_label
_atom_site_fract_x
_atom_site_fract_y
_atom_site_fract_z
Cu1 0.0000 0.0000 0.0000
Sb1 0.0000 0.0000 0.5000
Pb1 0.5000 0.5000 0.5000
# Size of the total moment   0.00 μB per formula unit
# Calculated density   7.56 Mg/m³
# ΔE_f (raw)   338 meV per atom
# Offset from the most stable computed form   0.000 eV/atom

***

Entry 2:
# Pm2YLu PBE optimized geometry
data_Pm2YLu
_cell_length_a 3.5898
_cell_length_b 3.5898
_cell_length_c 34.7642
_cell_angle_alpha 90.00
_cell_angle_beta 90.00
_cell_angle_gamma 120.00
_symmetry_space_group_name_H-M 'R -3 m'
_symmetry_Int_Tables_number 166
_symmetry_space_group_name_Hall '-R 3 2"'
loop_
_atom_site_label
_atom_site_fract_x
_atom_site_fract_y
_atom_site_fract_z
Pm1 0.0000 0.0000 0.2488
Y1 0.0000 0.0000 0.0000
Lu1 0.0000 0.0000 0.5000
# Size of the total moment   0.00 μB per formula unit
# Calculated density   7.11 Mg/m³
# ΔE_f   0.02 eV per atom
# Offset from the most stable computed form   0.000 eV/atom

***

Entry 3:
# HPdPbAu2 PBE optimized geometry
data_HPdPbAu2
_cell_length_a 4.8833
_cell_length_b 4.8833
_cell_length_c 3.5294
_cell_angle_alpha 90.00
_cell_angle_beta 90.00
_cell_angle_gamma 90.00
_symmetry_space_group_name_H-M 'P 4/m m m'
_symmetry_Int_Tables_number 123
_symmetry_space_group_name_Hall '-P 4 2'
loop_
_atom_site_label
_atom_site_fract_x
_atom_site_fract_y
_atom_site_fract_z
H1 0.0000 0.0000 0.0000
Pd1 0.0000 0.0000 0.5000
Pb1 0.5000 0.5000 0.5000
Au1 0.0000 0.5000 0.0000
# Size of the total moment   0.00 μB per formula unit
# E_tot   -3.6617 eV/atom
# Calculated density   13.98 Mg/m³